This record from the Alexandria database describes crystalline EuFeGe2 at its relaxed geometry. The functional is PBE.

Cell lengths 4.0553, 4.0553, 16.3669 Å; angles 90.00, 90.00, 120.00 degrees
Space group R-3m (No. 166, hexagonal axes)
Unique sites:
Eu 0.0000 0.0000 0.0000 x3
Fe 0.0000 0.0000 0.5000 x3
Ge 0.0000 0.0000 0.2134 x6

Output
calculated total energy = -0.2696 Ha/atom
total magnetization = 24.32 Bohr magnetons per cell
energy of formation = -0.34 eV per atom
DOS(E_F) = 2.337 states/eV/atom

=====

This record from the Alexandria database describes crystalline LiTc2Os at its relaxed geometry. The functional is PBE.

Cell lengths 2.951, 4.365, 8.593 Å; angles 90.00, 90.00, 90.00 degrees
Space group Imm2 (No. 44)
Unique sites:
Li 0.000 0.000 0.000 x2
Tc 0.000 0.000 0.500 x2
Tc 0.000 0.500 0.755 x2
Os 0.000 0.500 0.248 x2

Output
calculated total energy = -0.3029 Ha/atom
total magnetization = 0.00 Bohr magnetons per cell
energy of formation = 0.23 eV per atom
DOS(E_F) = 0.852 states/eV/atom

=====

This record from the Alexandria database describes crystalline Nd3Ho12Cd at its relaxed geometry. The functional is PBE.

Cell lengths 4.977, 4.977, 20.069 Å; angles 90.00, 90.00, 90.00 degrees
Space group P4/mmm (No. 123)
Unique sites:
Nd 0.000 0.000 0.000 x1
Nd 0.000 0.000 0.253 x2
Ho 0.000 0.500 0.127 x4
Ho 0.000 0.500 0.380 x4
Ho 0.500 0.500 0.000 x1
Ho 0.500 0.500 0.257 x2
Ho 0.500 0.500 0.500 x1
Cd 0.000 0.000 0.500 x1

Output
calculated total energy = -0.1611 Ha/atom
total magnetization = 0.00 Bohr magnetons per cell
energy of formation = 0.00 eV per atom
DOS(E_F) = 1.249 states/eV/atom

=====

This record from the Alexandria database describes crystalline Tb3Si2Ni7 at its relaxed geometry. The functional is PBE.

Cell lengths 5.1406, 5.1406, 23.3280 Å; angles 90.00, 90.00, 120.00 degrees
Space group R-3m (No. 166, hexagonal axes)
Unique sites:
Tb 0.0000 0.0000 0.0000 x3
Tb 0.0000 0.0000 0.1416 x6
Si 0.0000 0.0000 0.3320 x6
Ni 0.0000 0.0000 0.5000 x3
Ni 0.0033 0.5017 0.0776 x18

Output
calculated total energy = -0.2212 Ha/atom
total magnetization = 0.00 Bohr magnetons per cell
DOS(E_F) = 0.778 states/eV/atom
raw formation energy = -7.01 eV per formula unit